(1)
Density functional theory data (PBE) for a relaxed structure of Rb2Tl2Bi.

Calculated values
M_tot   0.0000 μB/atom
E_form   12.2 kJ/mol of atoms
Calculated volume   424.1 Å³/cell

a b c (Å): 11.033 11.033 3.484
angles (deg): 90.00 90.00 90.00
Space group P4/mbm (No. 127)
Symmetry-distinct sites (fractional):
Rb  0.195  0.305  0.000 [4 per cell]
Tl  0.101  0.601  0.500 [4 per cell]
Bi  0.000  0.000  0.000 [2 per cell]



(2)
Density functional theory data (PBE) for a relaxed structure of LaZrP.

Calculated values
M_tot   0.1746 μB/atom
E_form   -58.2 kJ/mol of atoms
Calculated volume   297.3 Å³/cell

a b c (Å): 6.674 6.674 6.674
angles (deg): 90.00 90.00 90.00
Space group F-43m (No. 216)
Symmetry-distinct sites (fractional):
La  0.000  0.000  0.000 [4 per cell]
Zr  0.000  0.000  0.500 [4 per cell]
P  0.250  0.250  0.250 [4 per cell]



no.,polymorph energy (0 for the lowest one) (meV/atom),E_tot (eV/atom)
1,333,-1.98
2,197,-6.90